The following is a DFT calculation (PBE-GGA) of an optimized crystal structure of PmNd2Y4Tm2.

Summary:
**Calculated total energy**: -48.395 eV per cell
**V**: 296.5 Å³ per cell

Cell and atoms, written as POSCAR:
```
PmNd2Y4Tm2
1.0
1.590 -2.211 -6.230
8.039 -5.838 -1.521
-5.072 -2.034 3.781
Pm Y Nd Tm
1 4 2 2
Direct
0.000 0.000 0.000
0.615 0.759 0.506
0.741 0.882 0.202
0.385 0.241 0.494
0.259 0.118 0.798
0.732 0.346 0.400
0.268 0.654 0.600
0.819 0.448 0.035
0.181 0.552 0.965
```

The following is a DFT calculation (PBE-GGA) of an optimized crystal structure of Pm2Nd4YTm2.

Summary:
**Calculated total energy**: -43.778 eV per cell
**V**: 302.3 Å³ per cell

Cell and atoms, written as POSCAR:
```
Pm2Nd4YTm2
1.0
-0.695 -3.991 3.149
7.971 0.937 -1.233
-2.163 5.043 5.915
Pm Y Tm Nd
2 1 2 4
Direct
0.112 0.224 0.669
0.888 0.776 0.331
0.000 0.000 0.000
0.668 0.335 0.000
0.332 0.665 0.000
0.778 0.555 0.670
0.555 0.110 0.331
0.445 0.890 0.669
0.222 0.445 0.330
```

The following is a DFT calculation (PBE-GGA) of an optimized crystal structure of PmNd6Y3Tm2.

Summary:
**Calculated total energy**: -61.552 eV per cell
**V**: 400.5 Å³ per cell

Cell and atoms, written as POSCAR:
```
PmNd6Y3Tm2
1.0
6.285 -0.001 0.012
-3.142 5.444 0.012
-1.067 -1.848 11.698
Nd Tm Y Pm
6 2 3 1
Direct
0.084 0.418 0.249
0.418 0.084 0.249
0.750 0.750 0.249
0.916 0.582 0.751
0.250 0.250 0.751
0.582 0.916 0.751
0.333 0.667 0.000
0.667 0.333 0.000
0.167 0.833 0.500
0.833 0.167 0.500
0.500 0.500 0.500
0.000 0.000 0.000
```

The following is a DFT calculation (PBE-GGA) of an optimized crystal structure of PmNd2Y2Tm.

Summary:
**Calculated total energy**: -62.194 eV per cell
**V**: 405.0 Å³ per cell

Cell and atoms, written as POSCAR:
```
PmNd2Y2Tm
1.0
3.577 0.000 0.000
0.000 6.141 0.000
0.000 0.000 18.434
Y Nd Tm Pm
4 4 2 2
Direct
0.000 0.662 0.841
0.000 0.338 0.159
0.500 0.162 0.659
0.500 0.838 0.341
0.000 0.664 0.654
0.000 0.336 0.346
0.500 0.164 0.846
0.500 0.836 0.154
0.000 0.000 0.000
0.500 0.500 0.500
0.500 0.500 0.000
0.000 0.000 0.500
```

The following is a DFT calculation (PBE-GGA) of an optimized crystal structure of PmNd2YTm.

Summary:
**Calculated total energy**: -46.634 eV per cell
**V**: 358.6 Å³ per cell

Cell and atoms, written as POSCAR:
```
PmNd2YTm
1.0
7.282 0.000 0.000
0.000 8.437 0.000
0.000 -4.218 5.838
Y Tm Pm Nd
2 2 2 4
Direct
0.750 0.742 0.484
0.250 0.258 0.516
0.750 0.019 0.037
0.250 0.981 0.963
0.250 0.718 0.436
0.750 0.282 0.564
0.500 0.305 0.000
0.000 0.695 0.000
0.500 0.695 0.000
0.000 0.305 0.000
```

The following is a DFT calculation (PBE-GGA) of an optimized crystal structure of Pm6NdY3Tm2.

Summary:
**Calculated total energy**: -61.441 eV per cell
**V**: 396.8 Å³ per cell

Cell and atoms, written as POSCAR:
```
Pm6NdY3Tm2
1.0
6.256 0.000 0.013
-3.127 5.419 0.013
-1.065 -1.843 11.694
Nd Tm Pm Y
1 2 6 3
Direct
0.000 0.000 0.000
0.333 0.667 0.000
0.667 0.333 0.000
0.418 0.084 0.250
0.582 0.916 0.750
0.750 0.750 0.249
0.084 0.418 0.250
0.250 0.250 0.751
0.916 0.582 0.750
0.167 0.833 0.500
0.500 0.500 0.500
0.833 0.167 0.500
```

The following is a DFT calculation (PBE-GGA) of an optimized crystal structure of PmNdY2Tm2.

Summary:
**Calculated total energy**: -59.291 eV per cell
**V**: 400.2 Å³ per cell

Cell and atoms, written as POSCAR:
```
PmNdY2Tm2
1.0
-1.791 -1.158 2.646
-4.868 -1.954 -4.152
7.726 -15.729 -1.654
Y Nd Tm Pm
4 2 4 2
Direct
0.500 0.766 0.345
0.500 0.234 0.655
0.000 0.266 0.155
0.000 0.734 0.845
0.000 0.000 0.500
0.500 0.500 0.000
0.500 0.264 0.324
0.000 0.764 0.176
0.500 0.736 0.676
0.000 0.236 0.824
0.500 0.500 0.500
0.000 0.000 0.000
```

The following is a DFT calculation (PBE-GGA) of an optimized crystal structure of Pm2Nd2YTm.

Summary:
**Calculated total energy**: -59.280 eV per cell
**V**: 401.3 Å³ per cell

Cell and atoms, written as POSCAR:
```
Pm2Nd2YTm
1.0
5.706 0.000 0.000
0.000 7.101 0.000
0.000 0.000 9.906
Pm Y Tm Nd
4 2 2 4
Direct
0.500 0.258 0.331
0.500 0.758 0.669
0.000 0.258 0.838
0.000 0.758 0.162
0.000 0.008 0.500
0.000 0.508 0.500
0.500 0.758 0.340
0.500 0.258 0.660
0.000 0.758 0.824
0.500 0.508 0.000
0.500 0.008 0.000
0.000 0.258 0.176
```

The following is a DFT calculation (PBE-GGA) of an optimized crystal structure of PmNd2Y6Tm.

Summary:
**Calculated total energy**: -112.866 eV per cell
**V**: 663.3 Å³ per cell

Cell and atoms, written as POSCAR:
```
PmNd2Y6Tm
1.0
-4.973 4.266 7.272
-5.934 1.955 -6.207
-0.283 -8.062 3.534
Y Tm Nd Pm
12 2 4 2
Direct
0.943 0.878 0.257
0.814 0.428 0.983
0.617 0.493 0.703
0.686 0.017 0.572
0.383 0.507 0.297
0.314 0.983 0.428
0.883 0.297 0.507
0.557 0.743 0.122
0.117 0.703 0.493
0.186 0.572 0.017
0.057 0.122 0.743
0.443 0.257 0.878
0.750 0.593 0.407
0.250 0.407 0.593
0.045 0.295 0.195
0.955 0.705 0.805
0.545 0.195 0.295
0.455 0.805 0.705
0.250 0.982 0.018
0.750 0.018 0.982
```

The following is a DFT calculation (PBE-GGA) of an optimized crystal structure of PmNd6Y2Tm3.

Summary:
**Calculated total energy**: -59.539 eV per cell
**V**: 398.1 Å³ per cell

Cell and atoms, written as POSCAR:
```
PmNd6Y2Tm3
1.0
-2.790 4.966 2.634
1.444 -5.007 3.496
10.903 4.653 0.289
Nd Tm Y Pm
6 3 2 1
Direct
0.418 0.085 0.253
0.752 0.752 0.253
0.915 0.582 0.747
0.248 0.248 0.747
0.582 0.915 0.747
0.085 0.418 0.253
0.833 0.167 0.500
0.167 0.833 0.500
0.500 0.500 0.500
0.667 0.333 0.000
0.333 0.667 0.000
0.000 0.000 0.000
```

The following is a DFT calculation (PBE-GGA) of an optimized crystal structure of PmNd2Y2Tm2.

Summary:
**Calculated total energy**: -35.553 eV per cell
**V**: 233.1 Å³ per cell

Cell and atoms, written as POSCAR:
```
PmNd2Y2Tm2
1.0
3.527 0.000 0.000
-1.764 5.598 1.805
0.000 0.165 11.856
Pm Y Tm Nd
1 2 2 2
Direct
0.000 0.000 0.500
0.549 0.097 0.229
0.451 0.903 0.771
0.773 0.546 0.365
0.227 0.454 0.635
0.328 0.656 0.085
0.672 0.344 0.915
```

The following is a DFT calculation (PBE-GGA) of an optimized crystal structure of Pm5NdY2Tm.

Summary:
**Calculated total energy**: -89.227 eV per cell
**V**: 616.1 Å³ per cell

Cell and atoms, written as POSCAR:
```
Pm5NdY2Tm
1.0
5.712 0.000 0.000
-2.856 10.137 0.000
0.000 0.000 10.640
Tm Pm Nd Y
2 10 2 4
Direct
0.800 0.600 0.511
0.200 0.400 0.011
0.719 0.438 0.814
0.520 0.039 0.242
0.982 0.963 0.521
0.297 0.595 0.707
0.018 0.037 0.021
0.387 0.774 0.022
0.480 0.961 0.742
0.703 0.405 0.207
0.281 0.562 0.314
0.613 0.226 0.522
0.588 0.175 0.956
0.412 0.825 0.456
0.887 0.774 0.233
0.884 0.769 0.818
0.116 0.231 0.318
0.113 0.226 0.733
```

The following is a DFT calculation (PBE-GGA) of an optimized crystal structure of Pm4NdY2Tm2.

Summary:
**Calculated total energy**: -45.532 eV per cell
**V**: 298.4 Å³ per cell

Cell and atoms, written as POSCAR:
```
Pm4NdY2Tm2
1.0
-1.455 -3.295 0.443
3.400 -0.707 -8.951
6.409 -1.890 6.994
Y Pm Nd Tm
2 4 1 2
Direct
0.149 0.298 0.672
0.851 0.702 0.328
0.518 0.037 0.334
0.482 0.963 0.666
0.815 0.630 0.668
0.185 0.370 0.332
0.000 0.000 0.000
0.331 0.663 0.999
0.669 0.337 0.001
```

The following is a DFT calculation (PBE-GGA) of an optimized crystal structure of PmNd2Y3Tm6.

Summary:
**Calculated total energy**: -60.207 eV per cell
**V**: 380.4 Å³ per cell

Cell and atoms, written as POSCAR:
```
PmNd2Y3Tm6
1.0
-2.626 5.437 1.246
-3.005 -4.159 -3.418
-2.828 -4.886 10.283
Tm Nd Y Pm
6 2 3 1
Direct
0.249 0.249 0.748
0.085 0.418 0.252
0.418 0.085 0.252
0.582 0.915 0.748
0.915 0.582 0.748
0.751 0.751 0.252
0.333 0.667 0.000
0.667 0.333 0.000
0.167 0.833 0.500
0.500 0.500 0.500
0.833 0.167 0.500
0.000 0.000 0.000
```

The following is a DFT calculation (PBE-GGA) of an optimized crystal structure of PmNd2Y6Tm3.

Summary:
**Calculated total energy**: -66.211 eV per cell
**V**: 387.7 Å³ per cell

Cell and atoms, written as POSCAR:
```
PmNd2Y6Tm3
1.0
-5.431 2.984 0.089
0.895 -4.677 -3.966
-2.494 -6.951 9.242
Y Tm Pm Nd
6 3 1 2
Direct
0.752 0.752 0.255
0.419 0.085 0.255
0.915 0.581 0.745
0.248 0.248 0.745
0.581 0.915 0.745
0.085 0.419 0.255
0.167 0.833 0.500
0.833 0.167 0.500
0.500 0.500 0.500
0.000 0.000 0.000
0.667 0.333 0.000
0.333 0.667 0.000
```

The following is a DFT calculation (PBE-GGA) of an optimized crystal structure of Pm3Nd2Y6Tm.

Summary:
**Calculated total energy**: -66.887 eV per cell
**V**: 395.3 Å³ per cell

Cell and atoms, written as POSCAR:
```
Pm3Nd2Y6Tm
1.0
-0.692 5.504 -2.864
-3.227 -4.969 -1.969
-7.391 2.555 8.955
Nd Y Pm Tm
2 6 3 1
Direct
0.334 0.666 0.000
0.666 0.334 0.000
0.249 0.249 0.750
0.585 0.917 0.751
0.917 0.585 0.751
0.083 0.415 0.249
0.415 0.083 0.249
0.751 0.751 0.250
0.167 0.833 0.500
0.833 0.167 0.500
0.500 0.500 0.500
0.000 0.000 0.000
```

The following is a DFT calculation (PBE-GGA) of an optimized crystal structure of Pm6NdY2Tm3.

Summary:
**Calculated total energy**: -59.431 eV per cell
**V**: 394.3 Å³ per cell

Cell and atoms, written as POSCAR:
```
Pm6NdY2Tm3
1.0
-1.371 -4.582 4.019
1.963 -1.388 -5.766
10.847 1.977 4.341
Pm Tm Y Nd
6 3 2 1
Direct
0.582 0.915 0.746
0.915 0.582 0.746
0.418 0.085 0.254
0.752 0.752 0.254
0.085 0.418 0.254
0.248 0.248 0.746
0.833 0.167 0.500
0.167 0.833 0.500
0.500 0.500 0.500
0.333 0.667 0.000
0.667 0.333 0.000
0.000 0.000 0.000
```

The following is a DFT calculation (PBE-GGA) of an optimized crystal structure of Pm2NdY6Tm2.

Summary:
**Calculated total energy**: -60.326 eV per cell
**V**: 366.6 Å³ per cell

Cell and atoms, written as POSCAR:
```
Pm2NdY6Tm2
1.0
6.611 -0.603 -0.491
-3.791 5.449 -0.491
-1.880 -3.232 11.522
Y Pm Nd Tm
6 2 1 2
Direct
0.867 0.557 0.213
0.288 0.288 0.289
0.712 0.712 0.711
0.133 0.443 0.787
0.443 0.133 0.787
0.557 0.867 0.213
0.864 0.136 0.000
0.136 0.864 0.000
0.000 0.000 0.500
0.701 0.299 0.500
0.299 0.701 0.500
```

The following is a DFT calculation (PBE-GGA) of an optimized crystal structure of Pm3NdYTm.

Summary:
**Calculated total energy**: -59.650 eV per cell
**V**: 401.9 Å³ per cell

Cell and atoms, written as POSCAR:
```
Pm3NdYTm
1.0
5.131 0.000 0.000
0.000 7.989 -1.154
0.000 -3.374 10.291
Pm Nd Tm Y
6 2 2 2
Direct
0.750 0.378 0.209
0.750 0.372 0.542
0.250 0.628 0.458
0.250 0.622 0.791
0.250 0.125 0.957
0.750 0.875 0.043
0.250 0.124 0.293
0.750 0.876 0.707
0.750 0.876 0.376
0.250 0.124 0.624
0.250 0.626 0.126
0.750 0.374 0.874
```

The following is a DFT calculation (PBE-GGA) of an optimized crystal structure of Pm2NdYTm5.

Summary:
**Calculated total energy**: -81.516 eV per cell
**V**: 573.0 Å³ per cell

Cell and atoms, written as POSCAR:
```
Pm2NdYTm5
1.0
8.597 0.000 0.000
0.000 8.597 0.000
-4.299 -4.299 7.753
Tm Y Nd Pm
10 2 2 4
Direct
0.429 0.347 0.276
0.071 0.571 0.724
0.500 0.500 0.000
0.571 0.653 0.724
0.000 0.000 0.000
0.653 0.153 0.724
0.929 0.429 0.276
0.347 0.847 0.276
0.153 0.071 0.724
0.847 0.929 0.276
0.250 0.250 0.500
0.750 0.750 0.500
0.750 0.250 0.500
0.250 0.750 0.500
0.382 0.882 0.000
0.118 0.382 0.000
0.882 0.618 0.000
0.618 0.118 0.000
```